Entry 1:
Density functional theory data (PBE-GGA) for a geometry-optimized ErNi2Ge structure.

- calculated formation energy (eV/atom) = -0.402
- D(E_F) (states/eV per cell) = 2.57

The structure in POSCAR format:
```
ErNi2Ge
1.0
3.513 0.000 0.000
0.000 3.910 0.000
0.000 0.000 5.071
Er Ni Ge
1 2 1
Direct
0.000 0.000 0.000
0.500 0.500 0.244
0.500 0.500 0.756
0.500 0.000 0.500
```



Entry 2:
Density functional theory data (PBE-GGA) for a geometry-optimized Sm2Er2Sb3 structure.

- D(E_F) (states/eV per cell) = 6.66
- ΔE_f (raw) (eV/f.u.) = -5.95

The structure in POSCAR format:
```
Sm2Er2Sb3
1.0
14.150 0.000 0.000
0.000 4.414 0.000
-1.255 0.000 7.286
Sm Er Sb
4 4 6
Direct
0.123 0.000 0.360
0.377 0.500 0.640
0.623 0.500 0.360
0.877 0.000 0.640
0.121 0.500 0.880
0.379 0.000 0.120
0.621 0.000 0.880
0.879 0.500 0.120
0.000 0.500 0.500
0.241 0.000 0.757
0.259 0.500 0.243
0.500 0.000 0.500
0.741 0.500 0.757
0.759 0.000 0.243
```



Entry 3:
Density functional theory data (PBE-GGA) for a geometry-optimized Li3HfU2Se6 structure.

- D(E_F) (states/eV per cell) = 8.19
- ΔE_f (raw) (eV/f.u.) = -14.44

The structure in POSCAR format:
```
Li3HfU2Se6
1.0
3.399 -5.888 0.000
3.399 5.888 0.000
-2.268 0.000 6.631
Li Hf U Se
3 1 2 6
Direct
0.000 0.000 0.000
0.333 0.667 0.000
0.667 0.333 0.000
0.500 0.500 0.500
0.167 0.833 0.500
0.833 0.167 0.500
0.097 0.414 0.242
0.268 0.268 0.755
0.414 0.097 0.242
0.586 0.903 0.758
0.732 0.732 0.245
0.903 0.586 0.758
```



Entry 4:
Density functional theory data (PBE-GGA) for a geometry-optimized Tl2PdCl structure.

- D(E_F) (states/eV per cell) = 4.49
- ΔE_f (raw) (eV/f.u.) = -0.72

The structure in POSCAR format:
```
Tl2PdCl
1.0
7.363 0.000 0.000
0.000 7.363 0.000
0.000 0.000 7.363
Tl Pd Cl
8 4 4
Direct
0.250 0.250 0.250
0.250 0.250 0.750
0.250 0.750 0.250
0.250 0.750 0.750
0.750 0.250 0.250
0.750 0.250 0.750
0.750 0.750 0.250
0.750 0.750 0.750
0.000 0.000 0.000
0.000 0.500 0.500
0.500 0.000 0.500
0.500 0.500 0.000
0.000 0.000 0.500
0.000 0.500 0.000
0.500 0.000 0.000
0.500 0.500 0.500
```



Entry 5:
Density functional theory data (PBE-GGA) for a geometry-optimized DyPdO3 structure.

- ΔE_f (raw) (eV/f.u.) = -9.76

The structure in POSCAR format:
```
DyPdO3
1.0
5.651 -2.705 0.000
5.651 2.705 0.000
-5.071 0.000 8.453
Dy Pd O
4 4 12
Direct
0.194 0.287 0.137
0.287 0.194 0.637
0.713 0.806 0.363
0.806 0.713 0.863
0.013 0.987 0.750
0.500 0.500 0.000
0.500 0.500 0.500
0.987 0.013 0.250
0.133 0.686 0.336
0.177 0.637 0.808
0.265 0.344 0.960
0.314 0.867 0.164
0.344 0.265 0.460
0.363 0.823 0.692
0.637 0.177 0.308
0.656 0.735 0.540
0.686 0.133 0.836
0.735 0.656 0.040
0.823 0.363 0.192
0.867 0.314 0.664
```



Entry 6:
Density functional theory data (PBE-GGA) for a geometry-optimized NaMn2C structure.

- calculated formation energy (eV/atom) = 0.666
- D(E_F) (states/eV per cell) = 27.83

The structure in POSCAR format:
```
NaMn2C
1.0
6.097 0.000 0.000
0.000 6.097 0.000
0.000 0.000 8.611
Na Mn C
4 8 4
Direct
0.000 0.250 0.375
0.000 0.750 0.625
0.500 0.250 0.125
0.500 0.750 0.875
0.000 0.000 0.000
0.000 0.500 0.000
0.250 0.250 0.750
0.250 0.750 0.250
0.500 0.000 0.500
0.500 0.500 0.500
0.750 0.250 0.750
0.750 0.750 0.250
0.000 0.250 0.875
0.000 0.750 0.125
0.500 0.250 0.625
0.500 0.750 0.375
```